Entry 1:
Density functional theory data (PBE-GGA) for KZnAs after structural relaxation.

The formation energy is -0.472 eV per atom. For the calculated density, the calculation gives 3.6 g/cm³. The value obtained for the size of the total moment is 0.0 μB/cell. Its density of states at the Fermi level is 0.05 states/eV/atom.

The structure belongs to space group P-6m2 (No. 187); the cell edges are 4.2576, 4.2576 and 5.2517 Å and the angles 90.00°, 90.00° and 120.00°. The inequivalent atoms are K at (0.0000, 0.0000, 0.0000), Zn at (0.6667, 0.3333, 0.5000) and As at (0.3333, 0.6667, 0.5000).


Entry 2:
Density functional theory data (PBE-GGA) for KZnAs2 after structural relaxation.

The formation energy is -0.095 eV per atom. For the calculated density, the calculation gives 4.5 g/cm³. The value obtained for the size of the total moment is 0.0 μB/cell. Its density of states at the Fermi level is 0.26 states/eV/atom.

The structure belongs to space group P4/mmm (No. 123); the cell edges are 3.695, 3.695 and 6.932 Å and the angles 90.00°, 90.00° and 90.00°. The inequivalent atoms are K at (0.000, 0.000, 0.000), Zn at (0.000, 0.000, 0.500) and As at (0.500, 0.500, 0.328).